1.
Compound: LiTmPuPt
Source: the Alexandria database
Functional: PBE-GGA
Structure: relaxed

abc: 4.9422 4.9422 4.9422
angles: 60.00 60.00 60.00
Sites, in units of the cell vectors:
Li: 0.0000 0.0000 0.0000
Tm: 0.2500 0.2500 0.2500
Pu: 0.7500 0.7500 0.7500
Pt: 0.5000 0.5000 0.5000

Properties
As for the theoretical density: 12.0 Mg/m³. For the energy, the calculation gives -28.690 eV for the cell shown. Its density of states at the Fermi level is 1.324 states/eV/atom. The value obtained for the formation enthalpy at 0 K is -483 meV per atom.

2.
Compound: LaSm3TmSc
Source: the Alexandria database
Functional: PBE-GGA
Structure: relaxed

abc: 7.9151 5.0863 10.1220
angles: 90.00 108.84 90.00
Sites, in units of the cell vectors:
La: 0.1770 0.2500 0.2971
La: 0.8230 0.7500 0.7029
Sm: 0.1724 0.2500 0.7906
Sm: 0.1722 0.7500 0.0433
Sm: 0.1776 0.7500 0.5440
Sm: 0.8224 0.2500 0.4560
Sm: 0.8278 0.2500 0.9567
Sm: 0.8276 0.7500 0.2094
Tm: 0.4987 0.7500 0.8744
Tm: 0.5013 0.2500 0.1256
Sc: 0.4998 0.2500 0.6254
Sc: 0.5002 0.7500 0.3746

Properties
As for the theoretical density: 6.9 Mg/m³. For the energy, the calculation gives -59.178 eV for the cell shown. Its density of states at the Fermi level is 1.728 states/eV/atom. The value obtained for the formation enthalpy at 0 K is 50 meV per atom.

3.
Compound: K2PuAgI6
Source: the Alexandria database
Functional: PBE-GGA
Structure: relaxed

abc: 8.1292 8.6790 14.2058
angles: 90.00 124.28 90.00
Sites, in units of the cell vectors:
K: 0.2140 0.0876 0.2464
K: 0.2140 0.4124 0.7464
K: 0.7860 0.5876 0.2536
K: 0.7860 0.9124 0.7536
Pu: 0.5000 0.0000 0.0000
Pu: 0.5000 0.5000 0.5000
Ag: 0.0000 0.0000 0.5000
Ag: 0.0000 0.5000 0.0000
I: 0.1360 0.1953 0.9456
I: 0.1360 0.3047 0.4456
I: 0.2621 0.6951 0.9494
I: 0.2621 0.8049 0.4494
I: 0.3535 0.0234 0.7460
I: 0.3535 0.4766 0.2460
I: 0.6465 0.5234 0.7540
I: 0.6465 0.9766 0.2540
I: 0.7379 0.1951 0.5506
I: 0.7379 0.3049 0.0506
I: 0.8640 0.6953 0.5544
I: 0.8640 0.8047 0.0544

Properties
As for the theoretical density: 4.8 Mg/m³. For the energy, the calculation gives -78.365 eV for the cell shown. Its density of states at the Fermi level is 1.336 states/eV/atom. The value obtained for the uncorrected formation energy is -1.050 eV/atom.

4.
Compound: Ba2Zn3GaPd4
Source: the Alexandria database
Functional: PBE-GGA
Structure: relaxed

abc: 4.5695 4.5695 10.4064
angles: 90.00 90.00 90.00
Sites, in units of the cell vectors:
Ba: 0.0000 0.5000 0.2426
Ba: 0.5000 0.0000 0.7574
Zn: 0.0000 0.5000 0.8774
Zn: 0.5000 0.0000 0.1226
Zn: 0.5000 0.5000 0.5000
Ga: 0.0000 0.0000 0.5000
Pd: 0.0000 0.0000 0.0000
Pd: 0.0000 0.5000 0.6193
Pd: 0.5000 0.0000 0.3807
Pd: 0.5000 0.5000 0.0000

Properties
As for the theoretical density: 7.4 Mg/m³. For the energy, the calculation gives -36.931 eV for the cell shown. Its density of states at the Fermi level is 0.485 states/eV/atom. The value obtained for the formation enthalpy at 0 K is -547 meV per atom.

5.
Compound: VZn
Source: the Alexandria database
Functional: PBE-GGA
Structure: relaxed

abc: 2.5699 2.5699 4.1217
angles: 90.00 90.00 90.00
Sites, in units of the cell vectors:
V: 0.0000 0.0000 0.0000
Zn: 0.5000 0.5000 0.5000

Properties
As for the theoretical density: 7.1 Mg/m³. For the energy, the calculation gives -10.406 eV for the cell shown. Its density of states at the Fermi level is 0.813 states/eV/atom. The value obtained for the formation enthalpy at 0 K is -7 meV per atom.

6.
Compound: Pm3CdGe4
Source: the Alexandria database
Functional: PBE-GGA
Structure: relaxed

abc: 8.6340 8.6340 8.6340
angles: 150.90 138.40 51.57
Sites, in units of the cell vectors:
Pm: 0.0000 0.0000 0.0000
Pm: 0.3103 0.8103 0.5000
Pm: 0.6897 0.1897 0.5000
Cd: 0.5000 0.5000 0.0000
Ge: 0.0694 0.3710 0.6984
Ge: 0.3274 0.6290 0.6984
Ge: 0.6726 0.3710 0.3016
Ge: 0.9306 0.6290 0.3016

Properties
As for the theoretical density: 6.7 Mg/m³. For the energy, the calculation gives -38.295 eV for the cell shown. Its density of states at the Fermi level is 0.407 states/eV/atom. The value obtained for the formation enthalpy at 0 K is -582 meV per atom.

> energy of number 6 (Pm3CdGe4)?

-38.295 eV for the cell shown